First-principles (PBE-GGA) data for LaHo3Er6 after structural relaxation, as listed in the Alexandria database.

Properties
Theoretical density, kg/m3: 8477
E_form, eV/atom: 0.293
Total DFT energy (no corrections), eV per atom: -4.311

Cell lengths 9.7681, 9.7681, 11.6445 Å; angles 90.00, 90.00, 120.00 degrees
Space group R3 (No. 146, hexagonal axes)
Symmetry-distinct sites (fractional):
La: 0.0000 0.0000 0.0000 x3
Ho: 0.0000 0.0000 0.2487 x3
Ho: 0.0000 0.0000 0.4973 x3
Ho: 0.0000 0.0000 0.7417 x3
Er: 0.0019 0.3313 0.3361 x9
Er: 0.0018 0.6711 0.5032 x9